Record 1
## Li3Pr3TiS8 (PBE-GGA)

Data for Li3Pr3TiS8 after structural relaxation.

Structure (CIF):
```
data_Li3Pr3TiS8
_chemical_formula_sum 'Li3 Pr3 Ti1 S8'
_cell_length_a 8.0058
_cell_length_b 8.0059
_cell_length_c 7.6811
_cell_angle_alpha 121.42
_cell_angle_beta 90.00
_cell_angle_gamma 120.00
_space_group_name_H-M_alt 'P 1'
_space_group_IT_number 1
loop_
_space_group_symop_operation_xyz
'x,y,z'
loop_
_atom_site_label
_atom_site_type_symbol
_atom_site_fract_x
_atom_site_fract_y
_atom_site_fract_z
Pr1 Pr 0.5000 0.5000 0.5000
Li1 Li 0.5000 0.5000 0.0000
Li2 Li 0.0000 0.5000 0.0000
Pr2 Pr 0.0000 0.5000 0.5000
S1 S 0.7744 0.5487 0.2628
Li3 Li 0.0000 0.0000 0.0000
S2 S 0.2256 0.4513 0.7372
S3 S 0.7744 0.9883 0.2629
Pr3 Pr 0.5000 0.0000 0.5000
S4 S 0.7543 0.5086 0.7628
S5 S 0.7861 0.0117 0.7371
Ti1 Ti 0.0000 0.0000 0.5000
S6 S 0.2457 0.4914 0.2372
S7 S 0.2139 0.9883 0.2629
S8 S 0.2256 0.0117 0.7371
```

Calculated total energy: -5.709 eV/atom
Uncorrected formation energy: -1.6428 eV per atom
Symmetry: R-3m, No. 166

=====

Record 2
## La12YEr6 (PBE-GGA)

Data for La12YEr6 after structural relaxation.

Structure (CIF):
```
data_La12YEr6
_chemical_formula_sum 'La12 Y1 Er6'
_cell_length_a 9.3221
_cell_length_b 9.3221
_cell_length_c 9.3221
_cell_angle_alpha 106.86
_cell_angle_beta 106.86
_cell_angle_gamma 106.86
_space_group_name_H-M_alt 'P 1'
_space_group_IT_number 1
loop_
_space_group_symop_operation_xyz
'x,y,z'
loop_
_atom_site_label
_atom_site_type_symbol
_atom_site_fract_x
_atom_site_fract_y
_atom_site_fract_z
La1 La 0.4880 0.1942 0.5829
Er1 Er 0.9137 0.8092 0.5581
La2 La 0.8058 0.4171 0.5120
La3 La 0.8807 0.1817 0.7111
La4 La 0.4171 0.5120 0.8058
Er2 Er 0.8092 0.5581 0.9137
La5 La 0.1942 0.5829 0.4880
La6 La 0.7111 0.8807 0.1817
La7 La 0.1817 0.7111 0.8807
La8 La 0.1193 0.8183 0.2889
La9 La 0.8183 0.2889 0.1193
Y1 Y 0.0000 0.0000 0.0000
Er3 Er 0.4419 0.0863 0.1908
La10 La 0.5829 0.4880 0.1942
Er4 Er 0.0863 0.1908 0.4419
La11 La 0.2889 0.1193 0.8183
La12 La 0.5120 0.8058 0.4171
Er5 Er 0.5581 0.9137 0.8092
Er6 Er 0.1908 0.4419 0.0863
```

D(E_F): 34.765 states/eV per cell
Calculated total energy: -4.666 eV/atom
Symmetry: R-3, No. 148